(1)
Sr2HgH, optimized geometry, DFT PBE; N(E_F) = 1.915 states/eV/cell; DFT total energy = -1.93 eV per atom; energy above the lowest structure with this stoichiometry = 0.2735 eV per atom; density = 5.74 g/cm3
1.0
3.6823 0.0000 0.0000
0.0000 3.6823 0.0000
0.0000 0.0000 8.0351
Sr Hg H
2 1 1
Direct
0.0000 0.0000 0.7648
0.0000 0.0000 0.2352
0.5000 0.5000 0.5000
0.5000 0.5000 0.0000

(2)
OsPt2Pb, optimized geometry, DFT PBE; N(E_F) = 4.714 states/eV/cell; DFT total energy = -6.35 eV per atom; ΔH_f (0 K) = 409 meV/atom; density = 18.93 g/cm3
1.0
-3.2113 -3.5776 -1.4150
3.3043 -1.6716 3.3766
-1.8410 0.7861 2.1907
Os Pb Pt
1 1 2
Direct
0.5000 0.0000 0.5000
0.0000 0.5000 0.5000
0.0000 0.0000 0.0000
0.5000 0.5000 0.0000

| no. | spin magnetization (μB per cell) |
| --- | --- |
| 1 | 0.00 |
| 2 | 0.00 |